No. 1
Computed, not measured: a geometry-optimized LiZrCo4 structure at the GGA-PBE level of DFT. Values from VASP.

magnetization = 4.24 μB/cell
SG = No. 216
formation energy = -150 meV per atom

Geometry as Quantum ESPRESSO input:
```
&SYSTEM
  ibrav = 0, nat = 6, ntyp = 3
/
ATOMIC_SPECIES
Li 6.94 Li.upf
Zr 91.22 Zr.upf
Co 58.93 Co.upf
ATOMIC_POSITIONS angstrom
Li 0.000 0.000 0.000
Zr 5.090 5.090 5.090
Co 2.542 2.542 2.542
Co 4.245 4.245 2.542
Co 4.245 2.542 4.245
Co 2.542 4.245 4.245
CELL_PARAMETERS angstrom
0.000 3.394 3.394
3.394 0.000 3.394
3.394 3.394 0.000
```

=====

No. 2
Computed, not measured: a geometry-optimized NpTlFeS3 structure at the GGA-PBE level of DFT. Values from VASP.

magnetization = 12.78 μB/cell
SG = No. 11
energy relative to the elements, uncorrected = -0.799 eV/atom

Geometry as Quantum ESPRESSO input:
```
&SYSTEM
  ibrav = 0, nat = 12, ntyp = 4
/
ATOMIC_SPECIES
Np 237.00 Np.upf
Tl 204.38 Tl.upf
Fe 55.84 Fe.upf
S 32.06 S.upf
ATOMIC_POSITIONS angstrom
Np 1.089 0.968 1.379
Np 5.008 2.904 7.329
Tl 0.510 2.904 6.684
Tl 5.587 0.968 2.025
Fe 2.767 2.904 3.559
Fe 3.330 0.968 5.149
S -2.028 0.968 7.382
S 1.388 0.968 4.052
S 2.966 2.904 1.260
S 3.131 0.968 7.449
S 4.709 2.904 4.656
S 8.125 2.904 1.326
CELL_PARAMETERS angstrom
8.938 0.000 0.000
0.000 3.872 0.000
-2.840 0.000 8.708
```

=====

No. 3
Computed, not measured: a geometry-optimized PaTl3I2Cl6 structure at the GGA-PBE level of DFT. Values from VASP.

magnetization = 0.00 μB/cell
SG = No. 12
energy relative to the elements, uncorrected = -1.301 eV/atom

Geometry as Quantum ESPRESSO input:
```
&SYSTEM
  ibrav = 0, nat = 12, ntyp = 4
/
ATOMIC_SPECIES
Pa 231.04 Pa.upf
Tl 204.38 Tl.upf
I 126.90 I.upf
Cl 35.45 Cl.upf
ATOMIC_POSITIONS angstrom
Pa 0.000 0.000 0.000
Tl 4.304 2.311 0.000
Tl 4.304 -2.311 0.000
Tl 8.557 0.000 3.036
I 5.285 0.000 3.792
I 11.828 0.000 2.280
Cl 2.099 0.000 1.458
Cl 7.490 2.784 1.405
Cl 9.624 2.784 4.667
Cl 7.490 -2.784 1.405
Cl 9.624 -2.784 4.667
Cl 15.014 0.000 4.614
CELL_PARAMETERS angstrom
8.609 -4.622 0.000
8.609 4.622 0.000
-0.104 0.000 6.072
```

=====

- The highest magnetization belongs to which entry?
  NpTlFeS3